Entry from Alexandria via LeMat-Bulk: an optimized crystal structure of Pm2Nd4Sc (PBE).

For the energy above the most stable polymorph in this dataset, the calculation gives 3.11 eV per formula unit. Its space group is No. 65. As for the raw total energy: -4.5096 eV per atom. The calculation puts the formation energy at 46 kJ/mol of atoms. For the density of states at the Fermi level, the calculation gives 10.68 states/eV/f.u.

abc: 7.205 7.205 5.972
angles: 90.00 90.00 129.40
Atoms (fractional coordinates):
Pm (0.109, 0.891, 0.000)
Pm (0.891, 0.109, 0.000)
Nd (0.189, 0.811, 0.500)
Nd (0.365, 0.635, 0.000)
Nd (0.635, 0.365, 0.000)
Nd (0.811, 0.189, 0.500)
Sc (0.500, 0.500, 0.500)

=====

Entry from Alexandria via LeMat-Bulk: an optimized crystal structure of Pm3Nd3Sc2 (PBE).

For the energy above the most stable polymorph in this dataset, the calculation gives 0.00 eV per formula unit. Its space group is No. 47. As for the raw total energy: -5.1147 eV per atom. The calculation puts the formation energy at 4 kJ/mol of atoms. For the density of states at the Fermi level, the calculation gives 10.98 states/eV/f.u.

abc: 5.032 5.048 10.050
angles: 90.00 90.00 90.00
Atoms (fractional coordinates):
Pm (0.000, 0.000, 0.000)
Pm (0.500, 0.000, 0.249)
Pm (0.500, 0.000, 0.751)
Nd (0.000, 0.000, 0.500)
Nd (0.500, 0.500, 0.000)
Nd (0.500, 0.500, 0.500)
Sc (0.000, 0.500, 0.249)
Sc (0.000, 0.500, 0.751)

=====

Entry from Alexandria via LeMat-Bulk: an optimized crystal structure of Pm7Nd2Sc (PBE).

Its space group is No. 65. As for the raw total energy: -4.7439 eV per atom. The calculation puts the formation energy at 16 kJ/mol of atoms. For the density of states at the Fermi level, the calculation gives 15.53 states/eV/f.u.

abc: 14.963 14.963 3.461
angles: 90.00 90.00 154.10
Atoms (fractional coordinates):
Pm (0.000, 0.000, 0.000)
Pm (0.164, 0.356, 0.000)
Pm (0.312, 0.688, 0.500)
Pm (0.356, 0.164, 0.000)
Pm (0.644, 0.836, 0.000)
Pm (0.688, 0.312, 0.500)
Pm (0.836, 0.644, 0.000)
Nd (0.204, 0.796, 0.000)
Nd (0.796, 0.204, 0.000)
Sc (0.500, 0.500, 0.500)

=====

Entry from Alexandria via LeMat-Bulk: an optimized crystal structure of Pm7Nd2Sc2 (PBE).

For the energy above the most stable polymorph in this dataset, the calculation gives 0.25 eV per formula unit. Its space group is No. 44. As for the raw total energy: -4.9059 eV per atom. The calculation puts the formation energy at 13 kJ/mol of atoms. For the density of states at the Fermi level, the calculation gives 14.46 states/eV/f.u.

abc: 10.754 10.754 10.754
angles: 160.37 66.59 117.09
Atoms (fractional coordinates):
Pm (0.000, 0.000, 0.000)
Pm (0.093, 0.295, 0.798)
Pm (0.209, 0.542, 0.667)
Pm (0.386, 0.043, 0.343)
Pm (0.498, 0.295, 0.202)
Pm (0.701, 0.043, 0.657)
Pm (0.876, 0.542, 0.333)
Nd (0.358, 0.358, 0.000)
Nd (0.704, 0.204, 0.500)
Sc (0.657, 0.799, 0.858)
Sc (0.941, 0.799, 0.142)

=====

Entry from Alexandria via LeMat-Bulk: an optimized crystal structure of Pm6NdSc3 (PBE).

Its space group is No. 146. As for the raw total energy: -5.0509 eV per atom. The calculation puts the formation energy at 17 kJ/mol of atoms. For the density of states at the Fermi level, the calculation gives 17.85 states/eV/f.u.

abc: 6.839 6.839 6.839
angles: 91.24 91.24 91.24
Atoms (fractional coordinates):
Pm (0.000, 0.338, 0.662)
Pm (0.167, 0.833, 0.500)
Pm (0.338, 0.662, 0.000)
Pm (0.500, 0.167, 0.833)
Pm (0.662, 0.000, 0.338)
Pm (0.833, 0.500, 0.167)
Nd (0.001, 0.001, 0.001)
Sc (0.261, 0.261, 0.261)
Sc (0.501, 0.501, 0.501)
Sc (0.740, 0.740, 0.740)

=====

Entry from Alexandria via LeMat-Bulk: an optimized crystal structure of Pm8Nd5Sc (PBE).

Its space group is No. 5. As for the raw total energy: -4.7098 eV per atom. The calculation puts the formation energy at 15 kJ/mol of atoms. For the density of states at the Fermi level, the calculation gives 18.37 states/eV/f.u.

abc: 8.326 8.326 9.099
angles: 118.67 118.67 78.97
Atoms (fractional coordinates):
Pm (0.025, 0.025, 0.209)
Pm (0.173, 0.233, 0.712)
Pm (0.188, 0.406, 0.287)
Pm (0.533, 0.172, 0.540)
Pm (0.594, 0.812, 0.713)
Pm (0.767, 0.827, 0.288)
Pm (0.828, 0.467, 0.460)
Pm (0.975, 0.975, 0.791)
Nd (0.334, 0.614, 0.791)
Nd (0.386, 0.666, 0.209)
Nd (0.441, 0.081, 0.083)
Nd (0.683, 0.317, 0.000)
Nd (0.919, 0.559, 0.917)
Sc (0.180, 0.820, 0.500)

=====

Entry from Alexandria via LeMat-Bulk: an optimized crystal structure of Pm3Nd7Sc (PBE).

For the energy above the most stable polymorph in this dataset, the calculation gives 1.72 eV per formula unit. Its space group is No. 12. As for the raw total energy: -4.6762 eV per atom. The calculation puts the formation energy at 22 kJ/mol of atoms. For the density of states at the Fermi level, the calculation gives 15.90 states/eV/f.u.

abc: 8.609 8.609 5.905
angles: 110.02 110.02 83.29
Atoms (fractional coordinates):
Pm (0.000, 0.000, 0.000)
Pm (0.206, 0.794, 0.500)
Pm (0.794, 0.206, 0.500)
Nd (0.019, 0.598, 0.808)
Nd (0.216, 0.216, 0.717)
Nd (0.402, 0.981, 0.192)
Nd (0.500, 0.500, 0.500)
Nd (0.598, 0.019, 0.808)
Nd (0.784, 0.784, 0.283)
Nd (0.981, 0.402, 0.192)
Sc (0.500, 0.500, 0.000)

=====

Entry from Alexandria via LeMat-Bulk: an optimized crystal structure of Pm3Nd3Sc2 (PBE).

For the energy above the most stable polymorph in this dataset, the calculation gives 0.31 eV per formula unit. Its space group is No. 12. As for the raw total energy: -5.0755 eV per atom. The calculation puts the formation energy at 7 kJ/mol of atoms. For the density of states at the Fermi level, the calculation gives 13.13 states/eV/f.u.

abc: 9.012 9.012 5.758
angles: 108.51 108.51 36.05
Atoms (fractional coordinates):
Pm (0.000, 0.000, 0.000)
Pm (0.140, 0.140, 0.597)
Pm (0.860, 0.860, 0.403)
Nd (0.360, 0.360, 0.816)
Nd (0.500, 0.500, 0.500)
Nd (0.640, 0.640, 0.184)
Sc (0.250, 0.250, 0.187)
Sc (0.750, 0.750, 0.813)

=====

Entry from Alexandria via LeMat-Bulk: an optimized crystal structure of Pm4Nd2Sc (PBE).

For the energy above the most stable polymorph in this dataset, the calculation gives 0.00 eV per formula unit. Its space group is No. 1. As for the raw total energy: -4.9199 eV per atom. The calculation puts the formation energy at 6 kJ/mol of atoms. For the density of states at the Fermi level, the calculation gives 9.82 states/eV/f.u.

abc: 7.104 8.649 8.880
angles: 61.09 89.94 78.22
Atoms (fractional coordinates):
Pm (0.000, 0.000, 0.000)
Pm (0.029, 0.881, 0.446)
Pm (0.139, 0.438, 0.720)
Pm (0.321, 0.713, 0.863)
Pm (0.496, 0.001, 0.997)
Pm (0.639, 0.438, 0.721)
Pm (0.710, 0.152, 0.584)
Pm (0.852, 0.586, 0.299)
Nd (0.170, 0.312, 0.144)
Nd (0.211, 0.164, 0.574)
Nd (0.529, 0.882, 0.442)
Nd (0.672, 0.307, 0.149)
Sc (0.354, 0.579, 0.314)
Sc (0.821, 0.707, 0.855)

=====

Entry from Alexandria via LeMat-Bulk: an optimized crystal structure of Pm2NdSc (PBE).

For the energy above the most stable polymorph in this dataset, the calculation gives 0.43 eV per formula unit. Its space group is No. 225. As for the raw total energy: -5.0062 eV per atom. The calculation puts the formation energy at 14 kJ/mol of atoms. For the density of states at the Fermi level, the calculation gives 9.27 states/eV/f.u.

abc: 5.663 5.663 5.663
angles: 60.00 60.00 60.00
Atoms (fractional coordinates):
Pm (0.250, 0.250, 0.250)
Pm (0.750, 0.750, 0.750)
Nd (0.000, 0.000, 0.000)
Sc (0.500, 0.500, 0.500)

=====

Entry from Alexandria via LeMat-Bulk: an optimized crystal structure of Pm2NdSc (PBE).

For the energy above the most stable polymorph in this dataset, the calculation gives 0.00 eV per formula unit. Its space group is No. 123. As for the raw total energy: -5.1126 eV per atom. The calculation puts the formation energy at 4 kJ/mol of atoms. For the density of states at the Fermi level, the calculation gives 5.52 states/eV/f.u.

abc: 5.024 5.024 5.042
angles: 90.00 90.00 90.00
Atoms (fractional coordinates):
Pm (0.000, 0.500, 0.000)
Pm (0.500, 0.000, 0.000)
Nd (0.000, 0.000, 0.500)
Sc (0.500, 0.500, 0.500)

=====

Entry from Alexandria via LeMat-Bulk: an optimized crystal structure of Pm4Nd15Sc (PBE).

Its space group is No. 123. As for the raw total energy: -4.8232 eV per atom. The calculation puts the formation energy at 2 kJ/mol of atoms. For the density of states at the Fermi level, the calculation gives 29.02 states/eV/f.u.

abc: 5.177 5.177 25.789
angles: 90.00 90.00 90.00
Atoms (fractional coordinates):
Pm (0.000, 0.000, 0.101)
Pm (0.000, 0.000, 0.303)
Pm (0.000, 0.000, 0.697)
Pm (0.000, 0.000, 0.899)
Nd (0.000, 0.500, 0.000)
Nd (0.000, 0.500, 0.202)
Nd (0.000, 0.500, 0.404)
Nd (0.000, 0.500, 0.596)
Nd (0.000, 0.500, 0.798)
Nd (0.500, 0.000, 0.000)
Nd (0.500, 0.000, 0.202)
Nd (0.500, 0.000, 0.404)
Nd (0.500, 0.000, 0.596)
Nd (0.500, 0.000, 0.798)
Nd (0.500, 0.500, 0.101)
Nd (0.500, 0.500, 0.303)
Nd (0.500, 0.500, 0.500)
Nd (0.500, 0.500, 0.697)
Nd (0.500, 0.500, 0.899)
Sc (0.000, 0.000, 0.500)

=====

Entry from Alexandria via LeMat-Bulk: an optimized crystal structure of Pm7Nd3Sc (PBE).

For the energy above the most stable polymorph in this dataset, the calculation gives 0.49 eV per formula unit. Its space group is No. 12. As for the raw total energy: -4.6622 eV per atom. The calculation puts the formation energy at 23 kJ/mol of atoms. For the density of states at the Fermi level, the calculation gives 16.32 states/eV/f.u.

abc: 8.574 8.574 5.890
angles: 110.02 110.02 83.35
Atoms (fractional coordinates):
Pm (0.000, 0.000, 0.000)
Pm (0.098, 0.515, 0.306)
Pm (0.285, 0.285, 0.784)
Pm (0.485, 0.902, 0.694)
Pm (0.515, 0.098, 0.306)
Pm (0.715, 0.715, 0.216)
Pm (0.902, 0.485, 0.694)
Nd (0.292, 0.708, 0.000)
Nd (0.500, 0.500, 0.500)
Nd (0.708, 0.292, 0.000)
Sc (0.000, 0.000, 0.500)

=====

Entry from Alexandria via LeMat-Bulk: an optimized crystal structure of Pm5Nd2Sc4 (PBE).

Its space group is No. 71. As for the raw total energy: -5.1904 eV per atom. The calculation puts the formation energy at 13 kJ/mol of atoms. For the density of states at the Fermi level, the calculation gives 16.29 states/eV/f.u.

abc: 12.388 12.388 12.388
angles: 163.95 138.10 45.14
Atoms (fractional coordinates):
Pm (0.000, 0.000, 0.000)
Pm (0.063, 0.361, 0.702)
Pm (0.341, 0.639, 0.702)
Pm (0.659, 0.361, 0.298)
Pm (0.937, 0.639, 0.298)
Nd (0.269, 0.769, 0.500)
Nd (0.731, 0.231, 0.500)
Sc (0.325, 0.500, 0.825)
Sc (0.407, 0.907, 0.500)
Sc (0.593, 0.093, 0.500)
Sc (0.675, 0.500, 0.175)

=====

Entry from Alexandria via LeMat-Bulk: an optimized crystal structure of Pm9Nd2Sc (PBE).

Its space group is No. 123. As for the raw total energy: -4.8585 eV per atom. The calculation puts the formation energy at 3 kJ/mol of atoms. For the density of states at the Fermi level, the calculation gives 19.82 states/eV/f.u.

abc: 5.126 5.126 15.355
angles: 90.00 90.00 90.00
Atoms (fractional coordinates):
Pm (0.000, 0.000, 0.000)
Pm (0.000, 0.000, 0.330)
Pm (0.000, 0.000, 0.670)
Pm (0.000, 0.500, 0.161)
Pm (0.000, 0.500, 0.500)
Pm (0.000, 0.500, 0.839)
Pm (0.500, 0.000, 0.161)
Pm (0.500, 0.000, 0.500)
Pm (0.500, 0.000, 0.839)
Nd (0.500, 0.500, 0.330)
Nd (0.500, 0.500, 0.670)
Sc (0.500, 0.500, 0.000)

=====

Entry from Alexandria via LeMat-Bulk: an optimized crystal structure of PmNdSc4 (PBE).

For the energy above the most stable polymorph in this dataset, the calculation gives 0.00 eV per formula unit. Its space group is No. 59. As for the raw total energy: -5.7607 eV per atom. The calculation puts the formation energy at 5 kJ/mol of atoms. For the density of states at the Fermi level, the calculation gives 11.69 states/eV/f.u.

abc: 5.379 10.269 6.043
angles: 90.00 90.00 90.00
Atoms (fractional coordinates):
Pm (0.250, 0.250, 0.073)
Pm (0.750, 0.750, 0.927)
Nd (0.250, 0.750, 0.573)
Nd (0.750, 0.250, 0.427)
Sc (0.250, 0.078, 0.593)
Sc (0.250, 0.422, 0.593)
Sc (0.250, 0.578, 0.093)
Sc (0.250, 0.922, 0.093)
Sc (0.750, 0.078, 0.907)
Sc (0.750, 0.422, 0.907)
Sc (0.750, 0.578, 0.407)
Sc (0.750, 0.922, 0.407)

=====

Entry from Alexandria via LeMat-Bulk: an optimized crystal structure of Pm4Nd3Sc (PBE).

For the energy above the most stable polymorph in this dataset, the calculation gives 0.57 eV per formula unit. Its space group is No. 71. As for the raw total energy: -4.8377 eV per atom. The calculation puts the formation energy at 11 kJ/mol of atoms. For the density of states at the Fermi level, the calculation gives 10.58 states/eV/f.u.

abc: 8.957 8.957 8.957
angles: 157.31 97.98 86.47
Atoms (fractional coordinates):
Pm (0.112, 0.868, 0.244)
Pm (0.376, 0.132, 0.244)
Pm (0.624, 0.868, 0.756)
Pm (0.888, 0.132, 0.756)
Nd (0.238, 0.738, 0.500)
Nd (0.500, 0.500, 0.000)
Nd (0.762, 0.262, 0.500)
Sc (0.000, 0.000, 0.000)

=====

Entry from Alexandria via LeMat-Bulk: an optimized crystal structure of Pm5Nd4Sc (PBE).

For the energy above the most stable polymorph in this dataset, the calculation gives 2.05 eV per formula unit. Its space group is No. 12. As for the raw total energy: -4.6822 eV per atom. The calculation puts the formation energy at 23 kJ/mol of atoms. For the density of states at the Fermi level, the calculation gives 15.00 states/eV/f.u.

abc: 9.398 9.398 8.786
angles: 114.32 114.32 30.49
Atoms (fractional coordinates):
Pm (0.000, 0.000, 0.000)
Pm (0.326, 0.326, 0.881)
Pm (0.340, 0.340, 0.289)
Pm (0.660, 0.660, 0.711)
Pm (0.674, 0.674, 0.119)
Nd (0.177, 0.177, 0.427)
Nd (0.469, 0.469, 0.713)
Nd (0.531, 0.531, 0.287)
Nd (0.823, 0.823, 0.573)
Sc (0.000, 0.000, 0.500)

=====

Entry from Alexandria via LeMat-Bulk: an optimized crystal structure of PmNd6Sc (PBE).

For the energy above the most stable polymorph in this dataset, the calculation gives 0.00 eV per formula unit. Its space group is No. 123. As for the raw total energy: -4.9306 eV per atom. The calculation puts the formation energy at 3 kJ/mol of atoms. For the density of states at the Fermi level, the calculation gives 13.56 states/eV/f.u.

abc: 5.126 5.126 10.254
angles: 90.00 90.00 90.00
Atoms (fractional coordinates):
Pm (0.000, 0.000, 0.000)
Nd (0.000, 0.500, 0.256)
Nd (0.000, 0.500, 0.744)
Nd (0.500, 0.000, 0.256)
Nd (0.500, 0.000, 0.744)
Nd (0.500, 0.500, 0.000)
Nd (0.500, 0.500, 0.500)
Sc (0.000, 0.000, 0.500)

=====

Entry from Alexandria via LeMat-Bulk: an optimized crystal structure of Pm3Nd6Sc2 (PBE).

Its space group is No. 12. As for the raw total energy: -4.8467 eV per atom. The calculation puts the formation energy at 19 kJ/mol of atoms. For the density of states at the Fermi level, the calculation gives 16.69 states/eV/f.u.

abc: 6.270 6.270 11.399
angles: 95.34 95.34 120.12
Atoms (fractional coordinates):
Pm (0.000, 0.000, 0.000)
Pm (0.334, 0.666, 0.000)
Pm (0.666, 0.334, 0.000)
Nd (0.091, 0.423, 0.268)
Nd (0.246, 0.246, 0.733)
Nd (0.423, 0.091, 0.268)
Nd (0.577, 0.909, 0.732)
Nd (0.754, 0.754, 0.267)
Nd (0.909, 0.577, 0.732)
Sc (0.166, 0.834, 0.500)
Sc (0.834, 0.166, 0.500)